*A*
Below is a geometry-optimized YCoSb2Te structure, with properties calculated at the PBE-GGA level.

The structure in POSCAR format:
```
YCoSb2Te
1.0
4.841 0.000 0.000
0.000 4.841 0.000
0.000 0.000 5.525
Sb Te Co Y
2 1 1 1
direct
0.000 0.500 0.000
0.500 0.000 0.000
0.000 0.000 0.500
0.000 0.000 0.000
0.500 0.500 0.500
```

Summary:
The space group is P4/mmm, No. 123.

=====

*B*
Below is a geometry-optimized YCoSb2Te structure, with properties calculated at the PBE-GGA level.

The structure in POSCAR format:
```
YCoSb2Te
1.0
5.783 0.000 0.000
0.000 5.783 0.000
0.000 0.000 5.736
Sb Te Y Co
2 1 1 1
direct
0.500 0.000 0.000
0.000 0.500 0.000
0.000 0.000 0.500
0.000 0.000 0.000
0.500 0.500 0.500
```

Summary:
The space group is P4/mmm, No. 123.

=====

Stability check: which of them is most stable? *A*.

=====

*A*
Below is a geometry-optimized ZnCoSbTe2 structure, with properties calculated at the PBE-GGA level.

The structure in POSCAR format:
```
ZnCoSbTe2
1.0
-0.585 -4.976 -1.755
5.275 -0.510 -0.313
0.119 -1.696 4.770
Zn Te Sb Co
1 2 1 1
direct
0.000 0.000 0.000
0.500 0.000 0.000
0.000 0.500 0.000
0.000 0.000 0.500
0.500 0.500 0.500
```

Summary:
The space group is P4/mmm, No. 123.

=====

*B*
Below is a geometry-optimized ZnCoSbTe2 structure, with properties calculated at the PBE-GGA level.

The structure in POSCAR format:
```
ZnCoSbTe2
1.0
-3.313 0.695 4.008
-1.977 -4.793 -0.803
3.180 -1.805 2.942
Te Zn Co Sb
2 1 1 1
direct
0.000 0.500 0.000
0.500 0.000 0.000
0.500 0.500 0.500
0.000 0.000 0.000
0.000 0.000 0.500
```

Summary:
The space group is P4/mmm, No. 123.

=====

Stability check: which of them is most stable? *B*.

=====

*A*
Below is a geometry-optimized ZrCoSbTe2 structure, with properties calculated at the PBE-GGA level.

The structure in POSCAR format:
```
ZrCoSbTe2
1.0
-1.628 -4.511 1.633
4.649 -1.910 -0.642
1.122 1.221 4.492
Co Te Zr Sb
1 2 1 1
direct
0.000 0.000 0.000
0.000 0.500 0.000
0.500 0.000 0.000
0.500 0.500 0.500
0.000 0.000 0.500
```

Summary:
The space group is P4/mmm, No. 123.

=====

*B*
Below is a geometry-optimized ZrCoSbTe2 structure, with properties calculated at the PBE-GGA level.

The structure in POSCAR format:
```
ZrCoSbTe2
1.0
5.542 0.000 0.000
0.000 5.542 0.000
0.000 0.000 5.601
Zr Co Te Sb
1 1 2 1
direct
0.000 0.000 0.000
0.500 0.500 0.500
0.500 0.000 0.000
0.000 0.500 0.000
0.000 0.000 0.500
```

Summary:
The space group is P4/mmm, No. 123.

=====

Stability check: which of them is most stable? *A*.

=====

*A*
Below is a geometry-optimized Th5CoSb2 structure, with properties calculated at the PBE-GGA level.

The structure in POSCAR format:
```
Th5CoSb2
1.0
4.510 0.000 0.000
0.000 8.209 0.000
0.000 0.000 12.457
Th Sb Co
10 4 2
direct
0.000 0.373 0.305
0.500 0.303 0.562
0.500 0.197 0.062
0.000 0.127 0.805
0.500 0.803 0.938
0.000 0.500 0.000
0.000 0.627 0.695
0.000 0.000 0.500
0.000 0.873 0.195
0.500 0.697 0.438
0.500 0.413 0.823
0.500 0.587 0.177
0.500 0.913 0.677
0.500 0.087 0.323
0.000 0.000 0.000
0.000 0.500 0.500
```

Summary:
The space group is Pbam, No. 55.

=====

*B*
Below is a geometry-optimized Th5CoSb2 structure, with properties calculated at the PBE-GGA level.

The structure in POSCAR format:
```
Th5CoSb2
1.0
7.564 0.002 0.000
0.003 7.564 0.000
-3.783 -3.783 4.152
Th Sb Co
5 2 1
direct
0.255 0.759 0.014
0.759 0.255 0.014
0.759 0.759 0.014
0.255 0.255 0.014
0.714 0.714 0.428
0.755 0.255 0.510
0.255 0.755 0.510
0.025 0.025 0.050
```

Summary:
The space group is I4mm, No. 107.

=====

Stability check: which of them is most stable? *A*.

=====

*A*
Below is a geometry-optimized TiCoSb3 structure, with properties calculated at the PBE-GGA level.

The structure in POSCAR format:
```
TiCoSb3
1.0
-2.686 3.422 2.855
-2.033 -3.908 2.771
3.966 0.315 3.354
Sb Ti Co
3 1 1
direct
0.000 0.000 0.500
0.000 0.500 0.000
0.500 0.000 0.000
0.000 0.000 0.000
0.500 0.500 0.500
```

Summary:
The space group is Pm-3m, No. 221.

=====

*B*
Below is a geometry-optimized TiCoSb3 structure, with properties calculated at the PBE-GGA level.

The structure in POSCAR format:
```
TiCoSb3
1.0
4.918 0.000 0.000
0.000 4.918 0.000
0.000 0.000 4.918
Ti Sb Co
1 3 1
direct
0.500 0.500 0.500
0.500 0.000 0.000
0.000 0.500 0.000
0.000 0.000 0.500
0.000 0.000 0.000
```

Summary:
The space group is Pm-3m, No. 221.

=====

Stability check: which of them is most stable? *B*.

=====

*A*
Below is a geometry-optimized Ti3CoSb structure, with properties calculated at the PBE-GGA level.

The structure in POSCAR format:
```
Ti3CoSb
1.0
5.066 0.000 0.000
0.000 5.448 -3.144
0.000 -0.001 6.291
Ti Sb Co
6 2 2
direct
0.250 0.359 0.180
0.250 0.820 0.180
0.250 0.820 0.641
0.750 0.180 0.820
0.750 0.641 0.820
0.750 0.180 0.359
0.250 0.333 0.667
0.750 0.667 0.333
0.000 0.000 0.000
0.500 0.000 0.000
```

Summary:
The space group is P6_3/mmc, No. 194.

=====

*B*
Below is a geometry-optimized Ti3CoSb structure, with properties calculated at the PBE-GGA level.

The structure in POSCAR format:
```
Ti3CoSb
1.0
-0.523 4.408 -0.798
-4.272 -0.250 1.424
1.348 0.921 4.204
Co Sb Ti
1 1 3
direct
0.000 0.000 0.000
0.500 0.500 0.500
0.000 0.500 0.000
0.500 0.000 0.000
0.000 0.000 0.500
```

Summary:
The space group is Pm-3m, No. 221.

=====

Stability check: which of them is most stable? *A*.